Record 1
MgPaSn6 | the Alexandria database | PBE-GGA | relaxed; symmetry = P4/mmm (123); VASP energy = -4.527 eV per atom; size of the total moment = 0.001 μB per formula unit
1.0
6.6693 0.0000 0.0000
0.0000 6.6693 0.0000
0.0000 0.0000 4.5451
Mg Pa Sn
1 1 6
Direct
0.0000 0.0000 0.0000
0.5000 0.5000 0.0000
0.0000 0.5000 0.0000
0.2414 0.2414 0.5000
0.2414 0.7586 0.5000
0.5000 0.0000 0.0000
0.7586 0.2414 0.5000
0.7586 0.7586 0.5000

Record 2
MgPaTcSn | the Alexandria database | PBE-GGA | relaxed; symmetry = F-43m (216); VASP energy = -6.377 eV per atom; size of the total moment = 0.000 μB per formula unit
1.0
0.0000 3.4261 3.4261
3.4261 0.0000 3.4261
3.4261 3.4261 0.0000
Mg Pa Tc Sn
1 1 1 1
Direct
0.0000 0.0000 0.0000
0.7500 0.7500 0.7500
0.5000 0.5000 0.5000
0.2500 0.2500 0.2500

Record 3
MgPaTlSn | the Alexandria database | PBE-GGA | relaxed; symmetry = F-43m (216); VASP energy = -4.312 eV per atom; size of the total moment = 1.119 μB per formula unit
1.0
0.0000 3.7071 3.7071
3.7071 0.0000 3.7071
3.7071 3.7071 0.0000
Mg Pa Tl Sn
1 1 1 1
Direct
0.0000 0.0000 0.0000
0.5000 0.5000 0.5000
0.7500 0.7500 0.7500
0.2500 0.2500 0.2500

Record 4
Tb2MgPa | the Alexandria database | PBE-GGA | relaxed; symmetry = P4/mmm (123); energy above the most stable polymorph in this dataset = 187.0 meV per atom; size of the total moment = 0.001 μB per formula unit
1.0
4.9007 0.0000 0.0000
0.0000 4.9007 0.0000
0.0000 0.0000 4.6020
Tb Mg Pa
2 1 1
Direct
0.0000 0.5000 0.0000
0.5000 0.0000 0.0000
0.0000 0.0000 0.5000
0.5000 0.5000 0.5000

Record 5
Tb2MgPa | the Alexandria database | PBE-GGA | relaxed; symmetry = P4/mmm (123); energy above the most stable polymorph in this dataset = 0.0 meV per atom; size of the total moment = 0.126 μB per formula unit
1.0
3.4111 0.0000 0.0000
0.0000 3.4111 0.0000
0.0000 0.0000 9.5671
Tb Mg Pa
2 1 1
Direct
0.0000 0.0000 0.2503
0.0000 0.0000 0.7497
0.5000 0.5000 0.0000
0.5000 0.5000 0.5000

Record 6
Tb2MgPa | the Alexandria database | PBE-GGA | relaxed; symmetry = Fm-3m (225); energy above the most stable polymorph in this dataset = 285.8 meV per atom; size of the total moment = 1.013 μB per formula unit
1.0
0.0000 3.8185 3.8185
3.8185 0.0000 3.8185
3.8185 3.8185 0.0000
Tb Mg Pa
2 1 1
Direct
0.2500 0.2500 0.2500
0.7500 0.7500 0.7500
0.0000 0.0000 0.0000
0.5000 0.5000 0.5000

Record 7
TbMgPa | the Alexandria database | PBE-GGA | relaxed; symmetry = Fmmm (69); VASP energy = -4.963 eV per atom; size of the total moment = 0.199 μB per formula unit
1.0
0.0000 5.1132 6.1022
2.6554 0.0000 6.1022
2.6554 5.1132 0.0000
Tb Mg Pa
2 2 2
Direct
0.1304 0.1304 0.8696
0.8696 0.8696 0.1304
0.2500 0.2500 0.2500
0.7500 0.7500 0.7500
0.3215 0.6785 0.3215
0.6785 0.3215 0.6785

Record 8
Tb2MgPa | the Alexandria database | PBE-GGA | relaxed; symmetry = R-3m (166); energy above the most stable polymorph in this dataset = 235.3 meV per atom; size of the total moment = 0.000 μB per formula unit
1.0
1.6187 0.9346 12.2531
-1.6187 0.9346 12.2531
0.0000 -1.8691 12.2531
Tb Mg Pa
2 1 1
Direct
0.0878 0.0878 0.0878
0.9122 0.9122 0.9122
0.5000 0.5000 0.5000
0.0000 0.0000 0.0000

Copy entry 3 word for word.
MgPaTlSn | the Alexandria database | PBE-GGA | relaxed; symmetry = F-43m (216); VASP energy = -4.312 eV per atom; size of the total moment = 1.119 μB per formula unit
1.0
0.0000 3.7071 3.7071
3.7071 0.0000 3.7071
3.7071 3.7071 0.0000
Mg Pa Tl Sn
1 1 1 1
Direct
0.0000 0.0000 0.0000
0.5000 0.5000 0.5000
0.7500 0.7500 0.7500
0.2500 0.2500 0.2500

> Which value of size of the total moment does entry 7 give?

0.199 μB per formula unit

> Which of these has the highest size of the total moment?

MgPaTlSn